# Sm3ErPd, relaxed, DFT PBE-GGA
# energy: -102.5 eV for the cell shown
# Fermi-level density of states: 24.09 states/eV per cell
data_Sm3ErPd
_cell_length_a 12.388
_cell_length_b 3.759
_cell_length_c 13.950
_cell_angle_alpha 90.00
_cell_angle_beta 115.63
_cell_angle_gamma 90.00
_space_group_name_H-M_alt 'C 1 m 1'
_space_group_IT_number 8
loop_
_space_group_symop_operation_xyz
'x,y,z'
'x,-y,z'
'x+1/2,y+1/2,z'
'x+1/2,-y+1/2,z'
loop_
_atom_site_label
_atom_site_fract_x
_atom_site_fract_y
_atom_site_fract_z
Sm1 0.000 0.000 0.000
Sm2 0.028 0.000 0.370
Sm3 0.171 0.500 0.240
Sm4 0.202 0.500 0.603
Sm5 0.233 0.000 0.836
Sm6 0.346 0.000 0.133
Er1 0.352 0.000 0.477
Er2 0.467 0.000 0.761
Pd1 0.007 0.000 0.624
Pd2 0.182 0.500 0.975



# Ac5ZnPd2, relaxed, DFT PBE-GGA
# energy: -142.5 eV for the cell shown
# Fermi-level density of states: 36.15 states/eV per cell
data_Ac5ZnPd2
_cell_length_a 8.494
_cell_length_b 8.494
_cell_length_c 14.458
_cell_angle_alpha 90.00
_cell_angle_beta 90.00
_cell_angle_gamma 90.00
_space_group_name_H-M_alt 'I 4/m c m'
_space_group_IT_number 140
_space_group_name_Hall '-I 4 2c'
loop_
_atom_site_label
_atom_site_fract_x
_atom_site_fract_y
_atom_site_fract_z
Ac1 0.000 0.000 0.000
Ac2 0.161 0.339 0.141
Zn1 0.000 0.000 0.250
Pd1 0.129 0.371 0.500



# Ca2FeCo2, relaxed, DFT PBE-GGA
# energy: -50.6 eV for the cell shown
# Fermi-level density of states: 8.76 states/eV per cell
data_Ca2FeCo2
_cell_length_a 6.331
_cell_length_b 6.331
_cell_length_c 4.562
_cell_angle_alpha 90.00
_cell_angle_beta 90.00
_cell_angle_gamma 90.00
_space_group_name_H-M_alt 'P 4/m b m'
_space_group_IT_number 127
_space_group_name_Hall '-P 4 2ab'
loop_
_atom_site_label
_atom_site_fract_x
_atom_site_fract_y
_atom_site_fract_z
Ca1 0.181 0.319 0.000
Fe1 0.000 0.000 0.500
Co1 0.128 0.628 0.500



# SrHoGaPb, relaxed, DFT PBE-GGA
# energy: -57.8 eV for the cell shown
# Fermi-level density of states: 8.53 states/eV per cell
data_SrHoGaPb
_cell_length_a 7.716
_cell_length_b 7.716
_cell_length_c 7.716
_cell_angle_alpha 90.00
_cell_angle_beta 90.00
_cell_angle_gamma 90.00
_space_group_name_H-M_alt 'F -4 3 m'
_space_group_IT_number 216
_space_group_name_Hall 'F -4 2 3'
loop_
_atom_site_label
_atom_site_fract_x
_atom_site_fract_y
_atom_site_fract_z
Sr1 0.000 0.000 0.000
Ho1 0.000 0.000 0.500
Ga1 0.250 0.250 0.750
Pb1 0.250 0.250 0.250



# BeZnAg, relaxed, DFT PBE-GGA
# energy: -15.1 eV for the cell shown
# Fermi-level density of states: 1.53 states/eV per cell
# E above lowest polymorph: 50 meV per atom
data_BeZnAg
_cell_length_a 2.842
_cell_length_b 5.035
_cell_length_c 6.266
_cell_angle_alpha 109.75
_cell_angle_beta 90.25
_cell_angle_gamma 106.06
_space_group_name_H-M_alt 'P -1'
_space_group_IT_number 2
loop_
_space_group_symop_operation_xyz
'x,y,z'
'-x,-y,-z'
loop_
_atom_site_label
_atom_site_fract_x
_atom_site_fract_y
_atom_site_fract_z
Be1 0.167 0.335 0.044
Zn1 0.473 0.944 0.774
Ag1 0.169 0.338 0.634



# SmNbSi2Tc, relaxed, DFT PBE-GGA
# energy: -78.4 eV for the cell shown
# Fermi-level density of states: 5.41 states/eV per cell
data_SmNbSi2Tc
_cell_length_a 4.050
_cell_length_b 4.050
_cell_length_c 11.198
_cell_angle_alpha 90.00
_cell_angle_beta 90.00
_cell_angle_gamma 90.00
_space_group_name_H-M_alt 'I -4 m 2'
_space_group_IT_number 119
_space_group_name_Hall 'I -4 -2'
loop_
_atom_site_label
_atom_site_fract_x
_atom_site_fract_y
_atom_site_fract_z
Sm1 0.000 0.000 0.000
Nb1 0.000 0.500 0.750
Si1 0.000 0.000 0.391
Tc1 0.000 0.500 0.250



# La4Nd2Pb3Cl2, relaxed, DFT PBE-GGA
# energy: -104.6 eV for the cell shown
# Fermi-level density of states: 24.50 states/eV per cell
data_La4Nd2Pb3Cl2
_cell_length_a 5.462
_cell_length_b 5.462
_cell_length_c 25.011
_cell_angle_alpha 90.00
_cell_angle_beta 90.00
_cell_angle_gamma 90.00
_space_group_name_H-M_alt 'I 4/m m m'
_space_group_IT_number 139
_space_group_name_Hall '-I 4 2'
loop_
_atom_site_label
_atom_site_fract_x
_atom_site_fract_y
_atom_site_fract_z
La1 0.000 0.500 0.087
Nd1 0.000 0.000 0.199
Pb1 0.000 0.000 0.327
Pb2 0.000 0.000 0.500
Cl1 0.000 0.000 0.077



# KMg2NiGe, relaxed, DFT PBE-GGA
# energy: -14.9 eV for the cell shown
# Fermi-level density of states: 2.79 states/eV per cell
# E above lowest polymorph: 0 meV per atom
data_KMg2NiGe
_cell_length_a 5.043
_cell_length_b 5.043
_cell_length_c 4.583
_cell_angle_alpha 90.00
_cell_angle_beta 90.00
_cell_angle_gamma 90.00
_space_group_name_H-M_alt 'P 4/m m m'
_space_group_IT_number 123
_space_group_name_Hall '-P 4 2'
loop_
_atom_site_label
_atom_site_fract_x
_atom_site_fract_y
_atom_site_fract_z
K1 0.000 0.000 0.000
Mg1 0.000 0.500 0.500
Ni1 0.500 0.500 0.500
Ge1 0.500 0.500 0.000